No. 1
The following is a DFT calculation (PBE) of a relaxed structure of Tb4Dy3Ho.

The value obtained for the total magnetic moment is 0.000 μB/f.u. For the raw total energy, the calculation gives -0.325 Ry per atom. The calculation puts the energy relative to the elements at 195 meV per atom. The energy above the most stable polymorph in this dataset is 185 meV/atom.

It has space group Cmmm (No. 65), with a = 5.608 Å, b = 25.936 Å, c = 3.555 Å, α = 90.00°, β = 90.00° and γ = 90.00°. The distinct sites, in fractional coordinates, are Tb at (0.000, 0.103, 0.000), Tb at (0.000, 0.223, 0.000), Dy at (0.000, 0.346, 0.500), Dy at (0.000, 0.500, 0.000) and Ho at (0.000, 0.000, 0.500).



No. 2
The following is a DFT calculation (PBE) of a relaxed structure of Tb6DyHo2.

The value obtained for the total magnetic moment is 0.001 μB/f.u. For the raw total energy, the calculation gives -0.338 Ry per atom. The calculation puts the energy relative to the elements at 16 meV per atom. The energy above the most stable polymorph in this dataset is 0 meV/atom.

It has space group P-1 (No. 2), with a = 3.545 Å, b = 8.673 Å, c = 9.371 Å, α = 90.02°, β = 100.86° and γ = 90.06°. The distinct sites, in fractional coordinates, are Tb at (0.111, 0.166, 0.221), Tb at (0.222, 0.834, 0.444), Tb at (0.334, 0.500, 0.667), Dy at (0.000, 0.500, 0.000) and Ho at (0.444, 0.167, 0.889).



No. 3
The following is a DFT calculation (PBE) of a relaxed structure of Tb7Dy2Ho3.

The value obtained for the total magnetic moment is 0.000 μB/f.u. For the raw total energy, the calculation gives -0.331 Ry per atom. The calculation puts the energy relative to the elements at 112 meV per atom. The energy above the most stable polymorph in this dataset is 0 meV/atom.

It has space group Cmmm (No. 65), with a = 5.672 Å, b = 37.541 Å, c = 3.580 Å, α = 90.00°, β = 90.00° and γ = 90.00°. The distinct sites, in fractional coordinates, are Tb at (0.000, 0.000, 0.000), Tb at (0.000, 0.072, 0.500), Tb at (0.000, 0.231, 0.000), Tb at (0.000, 0.408, 0.000), Dy at (0.000, 0.148, 0.000), Ho at (0.000, 0.315, 0.500) and Ho at (0.000, 0.500, 0.500).



No. 4
The following is a DFT calculation (PBE) of a relaxed structure of Tb2Dy2Ho5.

The value obtained for the total magnetic moment is 0.000 μB/f.u. For the raw total energy, the calculation gives -0.336 Ry per atom. The calculation puts the energy relative to the elements at 17 meV per atom. The energy above the most stable polymorph in this dataset is 0 meV/atom.

It has space group C2/m (No. 12), with a = 14.976 Å, b = 4.984 Å, c = 7.889 Å, α = 90.00°, β = 108.44° and γ = 90.00°. The distinct sites, in fractional coordinates, are Tb at (0.111, 0.000, 0.167), Dy at (0.056, 0.500, 0.833), Ho at (0.000, 0.000, 0.500), Ho at (0.167, 0.500, 0.500) and Ho at (0.222, 0.000, 0.833).



No. 5
The following is a DFT calculation (PBE) of a relaxed structure of Tb8DyHo4.

The value obtained for the total magnetic moment is 0.000 μB/f.u. For the raw total energy, the calculation gives -0.323 Ry per atom. The calculation puts the energy relative to the elements at 211 meV per atom.

It has space group R-3m (No. 166, hexagonal axes), with a = 7.2338 Å, b = 7.2338 Å, c = 27.4349 Å, α = 90.00°, β = 90.00° and γ = 120.00°. The distinct sites, in fractional coordinates, are Tb at (0.0000, 0.0000, 0.2153), Tb at (0.0345, 0.5173, 0.7665), Dy at (0.0000, 0.0000, 0.5000), Ho at (0.0000, 0.0000, 0.0000) and Ho at (0.0000, 0.5000, 0.0000).



No. 6
The following is a DFT calculation (PBE) of a relaxed structure of Tb4Dy3Ho.

The value obtained for the total magnetic moment is 0.000 μB/f.u. For the raw total energy, the calculation gives -0.338 Ry per atom. The calculation puts the energy relative to the elements at 9 meV per atom. The energy above the most stable polymorph in this dataset is 0 meV/atom.

It has space group Pmn2_1 (No. 31), with a = 11.244 Å, b = 7.247 Å, c = 6.269 Å, α = 90.00°, β = 90.00° and γ = 90.00°. The distinct sites, in fractional coordinates, are Tb at (0.000, 0.126, 0.000), Tb at (0.000, 0.874, 0.499), Tb at (0.250, 0.126, 0.333), Dy at (0.000, 0.376, 0.500), Dy at (0.250, 0.376, 0.832) and Ho at (0.000, 0.624, 0.000).



No. 7
The following is a DFT calculation (PBE) of a relaxed structure of Tb7DyHo2.

The value obtained for the total magnetic moment is 0.000 μB/f.u. For the raw total energy, the calculation gives -0.338 Ry per atom. The calculation puts the energy relative to the elements at 17 meV per atom. The energy above the most stable polymorph in this dataset is 0 meV/atom.

It has space group P-1 (No. 2), with a = 6.128 Å, b = 6.141 Å, c = 9.379 Å, α = 102.62°, β = 108.98° and γ = 99.67°. The distinct sites, in fractional coordinates, are Tb at (0.000, 0.000, 0.000), Tb at (0.199, 0.000, 0.400), Tb at (0.200, 0.500, 0.900), Tb at (0.400, 0.500, 0.300), Dy at (0.000, 0.500, 0.500) and Ho at (0.400, 0.000, 0.800).



No. 8
The following is a DFT calculation (PBE) of a relaxed structure of Tb6Dy4Ho19.

The value obtained for the total magnetic moment is 0.006 μB/f.u. For the raw total energy, the calculation gives -0.309 Ry per atom. The calculation puts the energy relative to the elements at 385 meV per atom.

It has space group I23 (No. 197), with a = 12.346 Å, b = 12.346 Å, c = 12.346 Å, α = 90.00°, β = 90.00° and γ = 90.00°. The distinct sites, in fractional coordinates, are Tb at (0.000, 0.374, 0.500), Dy at (0.179, 0.179, 0.821), Ho at (0.000, 0.000, 0.000), Ho at (0.000, 0.000, 0.259) and Ho at (0.063, 0.261, 0.278).



No. 9
The following is a DFT calculation (PBE) of a relaxed structure of Tb2Dy3Ho6.

The value obtained for the total magnetic moment is 0.000 μB/f.u. For the raw total energy, the calculation gives -0.317 Ry per atom. The calculation puts the energy relative to the elements at 285 meV per atom. The energy above the most stable polymorph in this dataset is 266 meV/atom.

It has space group I4/mmm (No. 139), with a = 4.686 Å, b = 4.686 Å, c = 32.981 Å, α = 90.00°, β = 90.00° and γ = 90.00°. The distinct sites, in fractional coordinates, are Tb at (0.000, 0.000, 0.046), Dy at (0.000, 0.000, 0.299), Dy at (0.000, 0.000, 0.500), Ho at (0.000, 0.000, 0.196) and Ho at (0.000, 0.500, 0.121).



No. 10
The following is a DFT calculation (PBE) of a relaxed structure of Tb5Dy12Ho2.

The value obtained for the total magnetic moment is 0.000 μB/f.u. For the raw total energy, the calculation gives -0.329 Ry per atom. The calculation puts the energy relative to the elements at 125 meV per atom. The energy above the most stable polymorph in this dataset is 37 meV/atom.

It has space group C2/m (No. 12), with a = 15.471 Å, b = 9.198 Å, c = 8.564 Å, α = 90.00°, β = 92.22° and γ = 90.00°. The distinct sites, in fractional coordinates, are Tb at (0.000, 0.000, 0.000), Tb at (0.206, 0.500, 0.523), Tb at (0.231, 0.000, 0.071), Dy at (0.057, 0.500, 0.837), Dy at (0.074, 0.000, 0.374), Dy at (0.130, 0.308, 0.171), Dy at (0.149, 0.180, 0.739) and Ho at (0.000, 0.328, 0.500).



No. 11
The following is a DFT calculation (PBE) of a relaxed structure of TbDy8Ho4.

The value obtained for the total magnetic moment is 0.000 μB/f.u. For the raw total energy, the calculation gives -0.322 Ry per atom. The calculation puts the energy relative to the elements at 213 meV per atom.

It has space group R-3m (No. 166, hexagonal axes), with a = 7.2320 Å, b = 7.2320 Å, c = 27.1781 Å, α = 90.00°, β = 90.00° and γ = 120.00°. The distinct sites, in fractional coordinates, are Tb at (0.0000, 0.0000, 0.0000), Dy at (0.0000, 0.0000, 0.2838), Dy at (0.0356, 0.5178, 0.2672), Ho at (0.0000, 0.0000, 0.5000) and Ho at (0.0000, 0.5000, 0.5000).



No. 12
The following is a DFT calculation (PBE) of a relaxed structure of Tb3Dy2Ho.

The value obtained for the total magnetic moment is 0.000 μB/f.u. For the raw total energy, the calculation gives -0.339 Ry per atom. The calculation puts the energy relative to the elements at 0 meV per atom.

It has space group P-1 (No. 2), with a = 7.142 Å, b = 7.146 Å, c = 8.788 Å, α = 90.01°, β = 101.74° and γ = 119.97°. The distinct sites, in fractional coordinates, are Tb at (0.000, 0.250, 0.000), Tb at (0.222, 0.361, 0.667), Tb at (0.278, 0.639, 0.334), Dy at (0.223, 0.862, 0.667), Dy at (0.278, 0.138, 0.334) and Ho at (0.500, 0.250, 0.000).



No. 13
The following is a DFT calculation (PBE) of a relaxed structure of TbDy5Ho6.

The value obtained for the total magnetic moment is 0.000 μB/f.u. For the raw total energy, the calculation gives -0.336 Ry per atom. The calculation puts the energy relative to the elements at 17 meV per atom.

It has space group C2/m (No. 12), with a = 6.109 Å, b = 10.572 Å, c = 11.682 Å, α = 90.00°, β = 99.99° and γ = 90.00°. The distinct sites, in fractional coordinates, are Tb at (0.000, 0.000, 0.000), Dy at (0.000, 0.167, 0.500), Dy at (0.000, 0.333, 0.000), Dy at (0.000, 0.500, 0.500), Ho at (0.250, 0.000, 0.750) and Ho at (0.250, 0.167, 0.250).



No. 14
The following is a DFT calculation (PBE) of a relaxed structure of Tb4Dy3Ho2.

The value obtained for the total magnetic moment is 0.000 μB/f.u. For the raw total energy, the calculation gives -0.338 Ry per atom. The calculation puts the energy relative to the elements at 16 meV per atom. The energy above the most stable polymorph in this dataset is 0 meV/atom.

It has space group C2/m (No. 12), with a = 15.017 Å, b = 5.001 Å, c = 7.911 Å, α = 90.00°, β = 108.25° and γ = 90.00°. The distinct sites, in fractional coordinates, are Tb at (0.166, 0.000, 0.000), Tb at (0.222, 0.500, 0.334), Dy at (0.000, 0.500, 0.000), Dy at (0.111, 0.500, 0.667) and Ho at (0.055, 0.000, 0.334).



No. 15
The following is a DFT calculation (PBE) of a relaxed structure of Tb5Dy5Ho2.

The value obtained for the total magnetic moment is 0.000 μB/f.u. For the raw total energy, the calculation gives -0.338 Ry per atom. The calculation puts the energy relative to the elements at 16 meV per atom.

It has space group C2/m (No. 12), with a = 15.006 Å, b = 5.009 Å, c = 11.181 Å, α = 90.00°, β = 116.57° and γ = 90.00°. The distinct sites, in fractional coordinates, are Tb at (0.000, 0.000, 0.000), Tb at (0.083, 0.000, 0.750), Tb at (0.167, 0.000, 0.500), Dy at (0.000, 0.500, 0.500), Dy at (0.167, 0.500, 0.000), Dy at (0.250, 0.000, 0.250) and Ho at (0.083, 0.500, 0.250).



No. 16
The following is a DFT calculation (PBE) of a relaxed structure of Tb3DyHo6.

The value obtained for the total magnetic moment is 0.000 μB/f.u. For the raw total energy, the calculation gives -0.329 Ry per atom. The calculation puts the energy relative to the elements at 122 meV per atom. The energy above the most stable polymorph in this dataset is 0 meV/atom.

It has space group Cmc2_1 (No. 36), with a = 9.532 Å, b = 20.874 Å, c = 6.330 Å, α = 90.00°, β = 90.00° and γ = 90.00°. The distinct sites, in fractional coordinates, are Tb at (0.000, 0.080, 0.000), Tb at (0.169, 0.372, 0.394), Dy at (0.000, 0.339, 0.920), Ho at (0.000, 0.198, 0.697), Ho at (0.000, 0.486, 0.723), Ho at (0.176, 0.219, 0.235) and Ho at (0.182, 0.061, 0.475).



No. 17
The following is a DFT calculation (PBE) of a relaxed structure of Tb5Dy3Ho3.

The value obtained for the total magnetic moment is 0.001 μB/f.u. For the raw total energy, the calculation gives -0.278 Ry per atom. The calculation puts the energy relative to the elements at 820 meV per atom.

It has space group P-62m (No. 189), with a = 9.6165 Å, b = 9.6165 Å, c = 5.4438 Å, α = 90.00°, β = 90.00° and γ = 120.00°. The distinct sites, in fractional coordinates, are Tb at (0.0000, 0.7384, 0.0000), Tb at (0.3333, 0.6667, 0.0000), Dy at (0.0000, 0.5546, 0.5000) and Ho at (0.0000, 0.3720, 0.0000).



No. 18
The following is a DFT calculation (PBE) of a relaxed structure of TbDy6Ho2.

The value obtained for the total magnetic moment is 0.000 μB/f.u. For the raw total energy, the calculation gives -0.337 Ry per atom. The calculation puts the energy relative to the elements at 17 meV per atom. The energy above the most stable polymorph in this dataset is 0 meV/atom.

It has space group P-1 (No. 2), with a = 3.535 Å, b = 8.643 Å, c = 9.342 Å, α = 90.02°, β = 100.85° and γ = 90.06°. The distinct sites, in fractional coordinates, are Tb at (0.000, 0.000, 0.000), Dy at (0.111, 0.666, 0.222), Dy at (0.222, 0.334, 0.444), Dy at (0.333, 0.000, 0.667) and Ho at (0.444, 0.666, 0.889).



No. 19
The following is a DFT calculation (PBE) of a relaxed structure of Tb2Dy7Ho3.

The value obtained for the total magnetic moment is 0.000 μB/f.u. For the raw total energy, the calculation gives -0.330 Ry per atom. The calculation puts the energy relative to the elements at 112 meV per atom. The energy above the most stable polymorph in this dataset is 35 meV/atom.

It has space group Cmmm (No. 65), with a = 5.656 Å, b = 37.457 Å, c = 3.575 Å, α = 90.00°, β = 90.00° and γ = 90.00°. The distinct sites, in fractional coordinates, are Tb at (0.000, 0.148, 0.000), Dy at (0.000, 0.000, 0.000), Dy at (0.000, 0.072, 0.500), Dy at (0.000, 0.231, 0.000), Dy at (0.000, 0.409, 0.000), Ho at (0.000, 0.315, 0.500) and Ho at (0.000, 0.500, 0.500).